Record 1
The following is a DFT calculation (GGA-PBE) of a geometry-optimized CeBeRh structure.

Summary:
formation enthalpy at 0 K	-0.475	eV/atom
E above lowest polymorph	0.063	eV per atom
crystal system	hexagonal

Cell lengths 4.0203, 4.0203, 3.9106 Å; angles 90.00, 90.00, 120.00 degrees
Positions (direct):
Ce 0.0000 0.0000 0.0000
Be 0.3333 0.6667 0.5000
Rh 0.6667 0.3333 0.5000

Record 2
The following is a DFT calculation (GGA-PBE) of a geometry-optimized Ce3BeSi6Rh2 structure.

Summary:
formation energy without anion corrections	-0.4055	eV per atom
crystal system	trigonal

Cell lengths 5.2801, 5.2801, 9.1192 Å; angles 90.00, 90.00, 120.00 degrees
Positions (direct):
Ce 0.0000 0.0000 0.0000
Ce 0.3333 0.6667 0.5765
Ce 0.6667 0.3333 0.4235
Be 0.0000 0.0000 0.5000
Si 0.1661 0.3323 0.2825
Si 0.1661 0.8339 0.2825
Si 0.3323 0.1661 0.7175
Si 0.6677 0.8339 0.2825
Si 0.8339 0.1661 0.7175
Si 0.8339 0.6677 0.7175
Rh 0.3333 0.6667 0.0778
Rh 0.6667 0.3333 0.9222

Record 3
The following is a DFT calculation (GGA-PBE) of a geometry-optimized Ce2BeSi3Rh4 structure.

Summary:
formation energy without anion corrections	-0.9509	eV per atom
crystal system	tetragonal

Cell lengths 4.1072, 4.1072, 9.8803 Å; angles 90.00, 90.00, 90.00 degrees
Positions (direct):
Ce 0.0000 0.5000 0.2403
Ce 0.5000 0.0000 0.7597
Be 0.5000 0.5000 0.0000
Si 0.0000 0.0000 0.0000
Si 0.0000 0.5000 0.6308
Si 0.5000 0.0000 0.3692
Rh 0.0000 0.0000 0.5000
Rh 0.0000 0.5000 0.8757
Rh 0.5000 0.0000 0.1243
Rh 0.5000 0.5000 0.5000

Record 4
The following is a DFT calculation (GGA-PBE) of a geometry-optimized Ce2Be4Si3Rh structure.

Summary:
formation energy without anion corrections	-0.5027	eV per atom
crystal system	tetragonal

Cell lengths 3.9336, 3.9336, 9.5823 Å; angles 90.00, 90.00, 90.00 degrees
Positions (direct):
Ce 0.0000 0.5000 0.2459
Ce 0.5000 0.0000 0.7541
Be 0.0000 0.0000 0.0000
Be 0.0000 0.5000 0.6283
Be 0.5000 0.0000 0.3717
Be 0.5000 0.5000 0.0000
Si 0.0000 0.5000 0.8702
Si 0.5000 0.0000 0.1298
Si 0.5000 0.5000 0.5000
Rh 0.0000 0.0000 0.5000

For the records above, the corresponding electronic total energy values read -18.437 -73.635 -70.778 -55.420 eV for the cell shown.